[1]
Computed, not measured: a PBEsol-optimized structure of YBe2Ni at the SCAN level of DFT.

Calculated values
As for the density of states at the Fermi level: 2.18 states/eV per cell. For the formation energy from the elements, the calculation gives 0.014 eV/atom. The energy above the most stable polymorph in this dataset comes out at 326 meV per atom.

a = 4.2374 Å, b = 4.2374 Å, c = 4.2374 Å
α = 123.02°, β = 114.53°, γ = 92.29°
With the nearest neighbours (Å) after each atom.
Fractional positions:
Y 0.0000 0.0000 0.0000  8 Be 2.58-2.67
Be 0.2969 0.7969 0.5000  2 Ni 2.35, 1 Be 2.38, 2 Y 2.58
Be 0.7031 0.2031 0.5000  2 Ni 2.35, 1 Be 2.38, 2 Y 2.58
Ni 0.5000 0.5000 0.0000  4 Be 2.35

---

[2]
Computed, not measured: a PBEsol-optimized structure of Ba2CaI6 at the SCAN level of DFT.

Calculated values
As for the density of states at the Fermi level: 0.00 states/eV per cell. Its formation energy (no corrections) is -1.886 eV/atom.

a = 10.5095 Å, b = 9.3312 Å, c = 17.8401 Å
α = 90.00°, β = 124.17°, γ = 90.00°
With the nearest neighbours (Å) after each atom.
Fractional positions:
Ba 0.1397 0.1117 0.2883  8 I 3.45-3.80
Ba 0.1397 0.3883 0.7883  8 I 3.45-3.80
Ba 0.2082 0.7233 0.0921  7 I 3.44-3.70
Ba 0.2082 0.7767 0.5921  7 I 3.44-3.70
Ba 0.7918 0.2233 0.4079  7 I 3.44-3.70
Ba 0.7918 0.2767 0.9079  7 I 3.44-3.70
Ba 0.8603 0.6117 0.2117  8 I 3.45-3.80
Ba 0.8603 0.8883 0.7117  8 I 3.45-3.80
Ca 0.4312 0.1502 0.0723  6 I 2.98-3.13
Ca 0.4312 0.3498 0.5723  6 I 2.98-3.13
Ca 0.5688 0.6502 0.4277  6 I 2.98-3.13
Ca 0.5688 0.8498 0.9277  6 I 2.98-3.13
I 0.0771 0.1047 0.6371  4 Ba 3.57-3.80, 1 I 3.85
I 0.0771 0.3953 0.1371  4 Ba 3.57-3.80, 1 I 3.85
I 0.0928 0.0516 0.9290  1 Ca 3.13
I 0.0928 0.4484 0.4290  1 Ca 3.13
I 0.2287 0.7453 0.2984  1 Ca 3.10
I 0.2287 0.7547 0.7984  1 Ca 3.10
I 0.3328 0.0473 0.5174  1 Ca 2.98
I 0.3328 0.4527 0.0174  1 Ca 2.98
I 0.4002 0.0529 0.2233  1 Ca 3.03
I 0.4002 0.4471 0.7233  1 Ca 3.03
I 0.4686 0.1637 0.9121  2 Ca 3.07-3.10
I 0.4686 0.3363 0.4121  2 Ca 3.07-3.10
I 0.5314 0.6637 0.5879  2 Ca 3.07-3.10
I 0.5314 0.8363 0.0879  2 Ca 3.07-3.10
I 0.5998 0.5529 0.2767  1 Ca 3.03
I 0.5998 0.9471 0.7767  1 Ca 3.03
I 0.6672 0.5473 0.9826  1 Ca 2.98
I 0.6672 0.9527 0.4826  1 Ca 2.98
I 0.7713 0.2453 0.2016  1 Ca 3.10
I 0.7713 0.2547 0.7016  1 Ca 3.10
I 0.9072 0.5516 0.5710  1 Ca 3.13
I 0.9072 0.9484 0.0710  1 Ca 3.13
I 0.9229 0.6047 0.8629  4 Ba 3.57-3.80, 1 I 3.85
I 0.9229 0.8953 0.3629  4 Ba 3.57-3.80, 1 I 3.85

---

[3]
Computed, not measured: a PBEsol-optimized structure of P2Rh at the SCAN level of DFT.

Calculated values
For the formation energy from the elements, the calculation gives -0.761 eV/atom.

a = 5.7130 Å, b = 5.7724 Å, c = 5.8210 Å
α = 90.00°, β = 112.69°, γ = 90.00°
With the nearest neighbours (Å) after each atom.
Fractional positions:
P 0.1603 0.1219 0.3698  1 P 2.22, 3 Rh 2.37-2.39
P 0.1603 0.3781 0.8698  1 P 2.22, 3 Rh 2.37-2.39
P 0.3344 0.6239 0.6890  1 P 2.22, 3 Rh 2.31-2.32
P 0.3344 0.8761 0.1890  1 P 2.22, 3 Rh 2.31-2.32
P 0.6656 0.1239 0.8110  1 P 2.22, 3 Rh 2.31-2.32
P 0.6656 0.3761 0.3110  1 P 2.22, 3 Rh 2.31-2.32
P 0.8397 0.6219 0.1302  1 P 2.22, 3 Rh 2.37-2.39
P 0.8397 0.8781 0.6302  1 P 2.22, 3 Rh 2.37-2.39
Rh 0.2719 0.5009 0.2913  6 P 2.31-2.39
Rh 0.2719 0.9991 0.7913  6 P 2.31-2.39
Rh 0.7281 0.0009 0.2087  6 P 2.31-2.39
Rh 0.7281 0.4991 0.7087  6 P 2.31-2.39

---

[4]
Computed, not measured: a PBEsol-optimized structure of Ba3Bi2P4O16 at the SCAN level of DFT.

Calculated values
As for the density of states at the Fermi level: 0.00 states/eV per cell. Its formation energy (no corrections) is -2.660 eV/atom.

a = 11.0509 Å, b = 11.0509 Å, c = 8.6842 Å
α = 108.52°, β = 108.52°, γ = 47.11°
With the nearest neighbours (Å) after each atom.
Fractional positions:
Ba 0.0570 0.9430 0.7500  8 O 2.69-2.83
Ba 0.1549 0.2773 0.7713  8 O 2.70-2.93
Ba 0.2773 0.1549 0.2713  8 O 2.70-2.93
Ba 0.7227 0.8451 0.7287  8 O 2.70-2.93
Ba 0.8451 0.7227 0.2287  8 O 2.70-2.93
Ba 0.9430 0.0570 0.2500  8 O 2.69-2.83
Bi 0.3590 0.4840 0.3210  5 O 2.24-2.49
Bi 0.4840 0.3590 0.8210  5 O 2.24-2.49
Bi 0.5160 0.6410 0.1790  5 O 2.24-2.49
Bi 0.6410 0.5160 0.6790  5 O 2.24-2.49
P 0.1054 0.6760 0.0184  4 O 1.53-1.59
P 0.1614 0.5505 0.5504  4 O 1.52-1.58
P 0.3240 0.8946 0.4816  4 O 1.53-1.59
P 0.4495 0.8386 0.9496  4 O 1.52-1.58
P 0.5505 0.1614 0.0504  4 O 1.52-1.58
P 0.6760 0.1054 0.5184  4 O 1.53-1.59
P 0.8386 0.4495 0.4496  4 O 1.52-1.58
P 0.8946 0.3240 0.9816  4 O 1.53-1.59
O 0.0186 0.8368 0.9557  1 P 1.53
O 0.0229 0.3129 0.4357  1 P 1.52
O 0.0234 0.5984 0.9312  1 P 1.53
O 0.0986 0.7161 0.2095  1 P 1.59
O 0.1632 0.9814 0.5443  1 P 1.53
O 0.1819 0.4677 0.3643  1 P 1.58
O 0.2535 0.4090 0.6537  1 P 1.56
O 0.2576 0.6163 0.5928  1 P 1.56
O 0.2839 0.9014 0.2905  1 P 1.59
O 0.3005 0.5490 0.0162  1 P 1.58
O 0.3129 0.0229 0.9357  1 P 1.52
O 0.3837 0.7424 0.9072  1 P 1.56
O 0.4016 0.9766 0.5688  1 P 1.53
O 0.4090 0.2535 0.1537  1 P 1.56
O 0.4510 0.6995 0.4838  1 P 1.58
O 0.4677 0.1819 0.8643  1 P 1.58
O 0.5323 0.8181 0.1357  1 P 1.58
O 0.5490 0.3005 0.5162  1 P 1.58
O 0.5910 0.7465 0.8463  1 P 1.56
O 0.5984 0.0234 0.4312  1 P 1.53
O 0.6163 0.2576 0.0928  1 P 1.56
O 0.6871 0.9771 0.0643  1 P 1.52
O 0.6995 0.4510 0.9838  1 P 1.58
O 0.7161 0.0986 0.7095  1 P 1.59
O 0.7424 0.3837 0.4072  1 P 1.56
O 0.7465 0.5910 0.3463  1 P 1.56
O 0.8181 0.5323 0.6357  1 P 1.58
O 0.8368 0.0186 0.4557  1 P 1.53
O 0.9014 0.2839 0.7905  1 P 1.59
O 0.9766 0.4016 0.0688  1 P 1.53
O 0.9771 0.6871 0.5643  1 P 1.52
O 0.9814 0.1632 0.0443  1 P 1.53

---

Values of DFT total energy, in order: -13.167, -36.243, -18.951, -19.344, all in eV per atom.